Entry 1:
DFT (PBE) results for crystalline BC at its relaxed geometry.

The total energy is -0.2752 hartree per atom. The calculation puts the formation energy at 0.46 eV/atom. The density comes out at 2.8 Mg/m³. The value obtained for the magnetic moment is 0.00 μB/cell.

```
data_BC
_chemical_formula_sum 'B6 C6'
_symmetry_space_group_name_H-M 'P -3 m 1'
_symmetry_Int_Tables_number 164
_symmetry_space_group_name_Hall '-P 3 2"'
_cell_length_a 2.5469
_cell_length_b 2.5469
_cell_length_c 14.2855
_cell_angle_alpha 90.00
_cell_angle_beta 90.00
_cell_angle_gamma 120.00
loop_
_atom_site_label
_atom_site_fract_x
_atom_site_fract_y
_atom_site_fract_z
_atom_site_occupancy
B1 0.0000 0.0000 0.1742 1
B2 0.0000 0.0000 0.2929 1
B3 0.3333 0.6667 0.3707 1
C1 0.3333 0.6667 0.4815 1
C2 0.3333 0.6667 0.8761 1
C3 0.3333 0.6667 0.9805 1
```

Entry 2:
DFT (PBE) results for crystalline B7C5 at its relaxed geometry.

The total energy is -0.2679 hartree per atom. The calculation puts the formation energy at 0.45 eV/atom. The density comes out at 2.8 Mg/m³. The value obtained for the magnetic moment is 0.00 μB/cell.

```
data_B7C5
_chemical_formula_sum 'B14 C10'
_symmetry_space_group_name_H-M 'C 1 m 1'
_symmetry_Int_Tables_number 8
_symmetry_space_group_name_Hall 'C -2y'
_cell_length_a 13.811
_cell_length_b 2.544
_cell_length_c 4.739
_cell_angle_alpha 90.00
_cell_angle_beta 102.59
_cell_angle_gamma 90.00
loop_
_atom_site_label
_atom_site_fract_x
_atom_site_fract_y
_atom_site_fract_z
_atom_site_occupancy
B1 0.000 0.000 0.000 1
B2 0.005 0.500 0.602 1
B3 0.123 0.000 0.143 1
B4 0.288 0.000 0.042 1
B5 0.295 0.000 0.687 1
B6 0.417 0.000 0.878 1
B7 0.439 0.500 0.326 1
C1 0.124 0.500 0.659 1
C2 0.160 0.500 0.372 1
C3 0.169 0.000 0.830 1
C4 0.270 0.500 0.477 1
C5 0.323 0.500 0.239 1
```

Entry 3:
DFT (PBE) results for crystalline BC at its relaxed geometry.

The total energy is -0.2783 hartree per atom. The calculation puts the formation energy at 0.38 eV/atom. The density comes out at 2.8 Mg/m³. The value obtained for the magnetic moment is 0.00 μB/cell.

```
data_BC
_chemical_formula_sum 'B10 C10'
_symmetry_space_group_name_H-M 'C 1 m 1'
_symmetry_Int_Tables_number 8
_symmetry_space_group_name_Hall 'C -2y'
_cell_length_a 8.623
_cell_length_b 2.639
_cell_length_c 6.392
_cell_angle_alpha 90.00
_cell_angle_beta 111.62
_cell_angle_gamma 90.00
loop_
_atom_site_label
_atom_site_fract_x
_atom_site_fract_y
_atom_site_fract_z
_atom_site_occupancy
B1 0.000 0.000 0.000 1
B2 0.001 0.000 0.612 1
B3 0.058 0.500 0.338 1
B4 0.239 0.000 0.775 1
B5 0.344 0.000 0.525 1
C1 0.092 0.500 0.096 1
C2 0.144 0.000 0.499 1
C3 0.277 0.500 0.143 1
C4 0.302 0.500 0.913 1
C5 0.357 0.000 0.276 1
```

Entry 4:
DFT (PBE) results for crystalline BC at its relaxed geometry.

The total energy is -0.2753 hartree per atom. The calculation puts the formation energy at 0.46 eV/atom. The density comes out at 2.8 Mg/m³. The value obtained for the magnetic moment is 0.00 μB/cell.

```
data_BC
_chemical_formula_sum 'B12 C12'
_symmetry_space_group_name_H-M 'C 1 2/m 1'
_symmetry_Int_Tables_number 12
_symmetry_space_group_name_Hall '-C 2y'
_cell_length_a 14.714
_cell_length_b 2.429
_cell_length_c 4.672
_cell_angle_alpha 90.00
_cell_angle_beta 105.86
_cell_angle_gamma 90.00
loop_
_atom_site_label
_atom_site_fract_x
_atom_site_fract_y
_atom_site_fract_z
_atom_site_occupancy
B1 0.031 0.000 0.344 1
B2 0.044 0.500 0.887 1
B3 0.151 0.000 0.471 1
C1 0.156 0.500 0.991 1
C2 0.195 0.000 0.187 1
C3 0.198 0.500 0.723 1
```

Entry 5:
DFT (PBE) results for crystalline B7C5 at its relaxed geometry.

The total energy is -0.2714 hartree per atom. The calculation puts the formation energy at 0.35 eV/atom. The density comes out at 2.2 Mg/m³. The value obtained for the magnetic moment is 0.00 μB/cell.

```
data_B7C5
_chemical_formula_sum 'B7 C5'
_symmetry_space_group_name_H-M 'P 3 m 1'
_symmetry_Int_Tables_number 156
_symmetry_space_group_name_Hall 'P 3 -2"'
_cell_length_a 2.6147
_cell_length_b 2.6147
_cell_length_c 17.3488
_cell_angle_alpha 90.00
_cell_angle_beta 90.00
_cell_angle_gamma 120.00
loop_
_atom_site_label
_atom_site_fract_x
_atom_site_fract_y
_atom_site_fract_z
_atom_site_occupancy
B1 0.0000 0.0000 0.0000 1
B2 0.0000 0.0000 0.0980 1
B3 0.0000 0.0000 0.3859 1
B4 0.3333 0.6667 0.2280 1
B5 0.3333 0.6667 0.8396 1
B6 0.6667 0.3333 0.2880 1
B7 0.6667 0.3333 0.9380 1
C1 0.0000 0.0000 0.6121 1
C2 0.3333 0.6667 0.1398 1
C3 0.3333 0.6667 0.6121 1
C4 0.6667 0.3333 0.3786 1
C5 0.6667 0.3333 0.8471 1
```

Entry 6:
DFT (PBE) results for crystalline B3C2 at its relaxed geometry.

The total energy is -0.2699 hartree per atom. The calculation puts the formation energy at 0.35 eV/atom. The density comes out at 2.7 Mg/m³. The value obtained for the magnetic moment is 0.00 μB/cell.

```
data_B3C2
_chemical_formula_sum 'B6 C4'
_symmetry_space_group_name_H-M 'P -1'
_symmetry_Int_Tables_number 2
_symmetry_space_group_name_Hall '-P 1'
_cell_length_a 3.471
_cell_length_b 4.589
_cell_length_c 4.777
_cell_angle_alpha 82.69
_cell_angle_beta 73.62
_cell_angle_gamma 69.93
loop_
_atom_site_label
_atom_site_fract_x
_atom_site_fract_y
_atom_site_fract_z
_atom_site_occupancy
B1 0.004 0.001 0.323 1
B2 0.182 0.313 0.457 1
B3 0.294 0.429 0.779 1
C1 0.364 0.744 0.792 1
C2 0.431 0.857 0.058 1
```

Look up the magnetic moment of the sixth one.
0.00 μB/cell